No. 1
A plane-wave DFT calculation with PBE was carried out for an optimized crystal structure of MnPdAu.

Cell lengths 4.4355, 4.4355, 2.8643 Å; angles 90.00, 90.00, 120.00 degrees
Atoms (fractional coordinates):
Mn (0.0000, 0.0000, 0.0000)
Pd (0.3333, 0.6667, 0.0029)
Au (0.6667, 0.3333, 0.5018)

Values from the calculation:
The calculation puts the formation enthalpy at 0 K at -74 meV/atom. The offset from the most stable computed form comes out at 0.26 eV per formula unit.

---

No. 2
A plane-wave DFT calculation with PBE was carried out for an optimized crystal structure of Ho2Cd3Au4.

Cell lengths 4.8547, 4.8547, 9.4362 Å; angles 90.50, 90.50, 59.71 degrees
Atoms (fractional coordinates):
Ho (0.1675, 0.1675, 0.2184)
Ho (0.8325, 0.8325, 0.7816)
Cd (0.1651, 0.1651, 0.5765)
Cd (0.5000, 0.5000, 0.0000)
Cd (0.8349, 0.8349, 0.4235)
Au (0.1662, 0.1662, 0.9016)
Au (0.4976, 0.4976, 0.6538)
Au (0.5024, 0.5024, 0.3462)
Au (0.8338, 0.8338, 0.0984)

Values from the calculation:
The calculation puts the formation enthalpy at 0 K at -557 meV/atom.

---

No. 3
A plane-wave DFT calculation with PBE was carried out for an optimized crystal structure of TlSiC3.

Cell lengths 4.4186, 4.4186, 4.4186 Å; angles 90.00, 90.00, 90.00 degrees
Atoms (fractional coordinates):
Tl (0.0000, 0.0000, 0.0000)
Si (0.5000, 0.5000, 0.5000)
C (0.0000, 0.0000, 0.5000)
C (0.0000, 0.5000, 0.0000)
C (0.5000, 0.0000, 0.0000)

Values from the calculation:
As for the uncorrected formation energy: 3.7041 eV per atom. The offset from the most stable computed form comes out at 8.12 eV per formula unit.

---

No. 4
A plane-wave DFT calculation with PBE was carried out for an optimized crystal structure of ThMgTc.

Cell lengths 14.4547, 14.4547, 14.4547 Å; angles 167.28, 167.28, 18.02 degrees
Atoms (fractional coordinates):
Th (0.1507, 0.1507, 0.0000)
Th (0.8493, 0.8493, 0.0000)
Mg (0.4469, 0.4469, 0.0000)
Mg (0.5531, 0.5531, 0.0000)
Tc (0.2736, 0.2736, 0.0000)
Tc (0.7264, 0.7264, 0.0000)

Values from the calculation:
The calculation puts the formation enthalpy at 0 K at 116 meV/atom. The offset from the most stable computed form comes out at 0.56 eV per formula unit.

---

No. 5
A plane-wave DFT calculation with PBE was carried out for an optimized crystal structure of HoSc2Cu4.

Cell lengths 7.0574, 7.0574, 7.0574 Å; angles 141.11, 141.11, 56.17 degrees
Atoms (fractional coordinates):
Ho (0.0000, 0.0000, 0.0000)
Sc (0.2660, 0.2660, 0.0000)
Sc (0.7340, 0.7340, 0.0000)
Cu (0.1344, 0.6344, 0.5000)
Cu (0.3656, 0.8656, 0.5000)
Cu (0.6344, 0.1344, 0.5000)
Cu (0.8656, 0.3656, 0.5000)

Values from the calculation:
The calculation puts the formation enthalpy at 0 K at -4 meV/atom.

---

No. 6
A plane-wave DFT calculation with PBE was carried out for an optimized crystal structure of RbRe2F.

Cell lengths 15.4046, 15.4046, 15.4046 Å; angles 166.78, 166.78, 18.74 degrees
Atoms (fractional coordinates):
Rb (0.0000, 0.0000, 0.0000)
Rb (0.7500, 0.2500, 0.5000)
Re (0.1173, 0.1250, 0.4923)
Re (0.3750, 0.8827, 0.0077)
Re (0.6327, 0.6250, 0.5077)
Re (0.8750, 0.3673, 0.9923)
F (0.2500, 0.7500, 0.5000)
F (0.5000, 0.5000, 0.0000)

Values from the calculation:
As for the uncorrected formation energy: 0.2606 eV per atom. The offset from the most stable computed form comes out at 0.00 eV per formula unit.

---

No. 7
A plane-wave DFT calculation with PBE was carried out for an optimized crystal structure of RbPbC3.

Cell lengths 4.8008, 4.8008, 4.8008 Å; angles 90.00, 90.00, 90.00 degrees
Atoms (fractional coordinates):
Rb (0.0000, 0.0000, 0.0000)
Pb (0.5000, 0.5000, 0.5000)
C (0.0000, 0.5000, 0.5000)
C (0.5000, 0.0000, 0.5000)
C (0.5000, 0.5000, 0.0000)

Values from the calculation:
The calculation puts the formation enthalpy at 0 K at 2957 meV/atom. The offset from the most stable computed form comes out at 0.00 eV per formula unit.

---

No. 8
A plane-wave DFT calculation with PBE was carried out for an optimized crystal structure of Pm2PuPd3.

Cell lengths 3.5426, 3.5426, 10.9149 Å; angles 90.00, 90.00, 90.00 degrees
Atoms (fractional coordinates):
Pm (0.0000, 0.0000, 0.1694)
Pm (0.0000, 0.0000, 0.8306)
Pu (0.0000, 0.0000, 0.5000)
Pd (0.5000, 0.5000, 0.0000)
Pd (0.5000, 0.5000, 0.3322)
Pd (0.5000, 0.5000, 0.6678)

Values from the calculation:
The calculation puts the formation enthalpy at 0 K at -642 meV/atom.

---

No. 9
A plane-wave DFT calculation with PBE was carried out for an optimized crystal structure of LiPaSiRu.

Cell lengths 4.5542, 4.5542, 4.5542 Å; angles 60.00, 60.00, 60.00 degrees
Atoms (fractional coordinates):
Li (0.0000, 0.0000, 0.0000)
Pa (0.2500, 0.2500, 0.2500)
Si (0.7500, 0.7500, 0.7500)
Ru (0.5000, 0.5000, 0.5000)

Values from the calculation:
As for the uncorrected formation energy: -0.3452 eV per atom.

---

No. 10
A plane-wave DFT calculation with PBE was carried out for an optimized crystal structure of CdSbPd2.

Cell lengths 8.5486, 8.5486, 8.5486 Å; angles 21.98, 21.98, 21.98 degrees
Atoms (fractional coordinates):
Cd (0.0000, 0.0000, 0.0000)
Sb (0.1667, 0.1667, 0.1667)
Pd (0.5809, 0.5809, 0.5809)
Pd (0.7525, 0.7525, 0.7525)

Values from the calculation:
As for the uncorrected formation energy: -0.2591 eV per atom.

---

No. 11
A plane-wave DFT calculation with PBE was carried out for an optimized crystal structure of CaVTe2N.

Cell lengths 5.5238, 5.5238, 3.7058 Å; angles 90.00, 90.00, 90.00 degrees
Atoms (fractional coordinates):
Ca (0.0000, 0.0000, 0.0000)
V (0.5000, 0.5000, 0.5000)
Te (0.0000, 0.5000, 0.5000)
Te (0.5000, 0.0000, 0.5000)
N (0.5000, 0.5000, 0.0000)

Values from the calculation:
As for the uncorrected formation energy: -0.4938 eV per atom. The offset from the most stable computed form comes out at 0.00 eV per formula unit.

---

No. 12
A plane-wave DFT calculation with PBE was carried out for an optimized crystal structure of V9Ni4Rh11.

Cell lengths 11.4038, 11.4038, 2.7320 Å; angles 90.00, 90.00, 113.47 degrees
Atoms (fractional coordinates):
V (0.0000, 0.0000, 0.0000)
V (0.1059, 0.6709, 0.0000)
V (0.2892, 0.4740, 0.0000)
V (0.3291, 0.8941, 0.0000)
V (0.4740, 0.2892, 0.0000)
V (0.5260, 0.7108, 0.0000)
V (0.6709, 0.1059, 0.0000)
V (0.7108, 0.5260, 0.0000)
V (0.8941, 0.3291, 0.0000)
Ni (0.0785, 0.2554, 0.0000)
Ni (0.2554, 0.0785, 0.0000)
Ni (0.7446, 0.9215, 0.0000)
Ni (0.9215, 0.7446, 0.0000)
Rh (0.0972, 0.4628, 0.5000)
Rh (0.1215, 0.8785, 0.5000)
Rh (0.2818, 0.2818, 0.5000)
Rh (0.3153, 0.6847, 0.5000)
Rh (0.4628, 0.0972, 0.5000)
Rh (0.5000, 0.5000, 0.5000)
Rh (0.5372, 0.9028, 0.5000)
Rh (0.6847, 0.3153, 0.5000)
Rh (0.7182, 0.7182, 0.5000)
Rh (0.8785, 0.1215, 0.5000)
Rh (0.9028, 0.5372, 0.5000)

Values from the calculation:
The calculation puts the formation enthalpy at 0 K at -247 meV/atom.

---

Calculated values (μB/f.u.) of magnetic moment for the records, taken in order: 4.317; 0.000; 2.501; 0.000; 0.000; 0.000; 5.083; 5.919; 0.000; 0.000; 0.002; 0.007.